(1)
Pr2MgTi: optimized geometry, GGA-PBE.

Output
- energy above the lowest structure with this stoichiometry (eV/atom) = 0.299
- ΔH_f (0 K) (meV per atom) = 435
- calculated volume (A^3/atom) = 28.12
- D(E_F) (states/eV per atom) = 1.179

a = 3.289 Å, b = 3.289 Å, c = 12.155 Å
α = 82.22°, β = 82.22°, γ = 60.00°
Site moments in Bohr magnetons follow the coordinates.
Sites, in units of the cell vectors:
Mg  0.500  0.500  0.500  0.00
Pr  0.082  0.082  0.753  -0.02
Pr  0.918  0.918  0.247  -0.02
Ti  0.000  0.000  0.000  0.99

***

(2)
Pr6MgTl: optimized geometry, GGA-PBE.

Output
- energy above the lowest structure with this stoichiometry (eV/atom) = 0.062
- ΔH_f (0 K) (meV per atom) = -46
- calculated volume (A^3/atom) = 33.17
- D(E_F) (states/eV per atom) = 1.414

a = 9.157 Å, b = 9.144 Å, c = 6.423 Å
α = 44.68°, β = 44.58°, γ = 59.89°
Sites, in units of the cell vectors:
Pr  0.026  0.521  0.207
Pr  0.522  0.247  0.206
Pr  0.478  0.753  0.794
Pr  0.974  0.479  0.793
Pr  0.753  0.973  0.787
Pr  0.247  0.027  0.213
Mg  0.500  0.500  0.500
Tl  0.000  0.000  0.000

***

(3)
Pr6MgTl: optimized geometry, GGA-PBE.

Output
- energy above the lowest structure with this stoichiometry (eV/atom) = 0.000
- ΔH_f (0 K) (meV per atom) = -108
- calculated volume (A^3/atom) = 32.26
- D(E_F) (states/eV per atom) = 1.634

a = 5.054 Å, b = 5.054 Å, c = 10.104 Å
α = 90.00°, β = 90.00°, γ = 90.00°
Sites, in units of the cell vectors:
Pr  0.500  0.500  0.500
Pr  0.000  0.500  0.248
Pr  0.000  0.500  0.752
Pr  0.500  0.500  0.000
Pr  0.500  0.000  0.248
Pr  0.500  0.000  0.752
Tl  0.000  0.000  0.000
Mg  0.000  0.000  0.500

***

(4)
PrMg6Tl4: optimized geometry, GGA-PBE.

Output
- ΔH_f (0 K) (meV per atom) = -88
- calculated volume (A^3/atom) = 25.46
- D(E_F) (states/eV per atom) = 0.276

a = 4.554 Å, b = 8.427 Å, c = 8.427 Å
α = 120.00°, β = 90.00°, γ = 90.00°
Sites, in units of the cell vectors:
Mg  0.000  0.535  0.465
Mg  0.000  0.929  0.465
Mg  0.500  0.588  0.794
Mg  0.000  0.535  0.071
Mg  0.500  0.206  0.794
Mg  0.500  0.206  0.412
Tl  0.500  0.813  0.187
Tl  0.000  0.333  0.667
Tl  0.500  0.813  0.627
Tl  0.500  0.373  0.187
Pr  0.000  0.000  0.000

***

> Which value of D(E_F) does entry 3 give?

1.634 states/eV per atom